Entry 1:
An optimized crystal structure of NdCdAg2. Source: Alexandria, functional PBE-GGA.

The structure belongs to space group P4/mmm (No. 123); the cell edges are 4.8212, 4.8212 and 4.0912 Å and the angles 90.00°, 90.00° and 90.00°. The distinct sites, in fractional coordinates, are Nd at (0.0000, 0.0000, 0.0000), Cd at (0.5000, 0.5000, 0.0000) and Ag at (0.0000, 0.5000, 0.5000).

The volume comes out at 95.1 Å³/cell. The value obtained for the raw total energy is -2.9627 eV/atom. The crystal system is tetragonal. As for the density: 8.25 Mg/m³. The formation energy comes out at -11.2 kJ/mol of atoms.


Entry 2:
An optimized crystal structure of ZnBF4. Source: Alexandria, functional PBE-GGA.

The structure belongs to space group I-4 (No. 82); the cell edges are 5.0981, 5.0981 and 7.9842 Å and the angles 90.00°, 90.00° and 90.00°. The distinct sites, in fractional coordinates, are Zn at (0.0000, 0.0000, 0.0000), B at (0.0000, 0.5000, 0.2500) and F at (0.1471, 0.6750, 0.3518).

The volume comes out at 207.5 Å³/cell. The value obtained for the raw total energy is -4.7817 eV/atom. The crystal system is tetragonal. As for the density: 2.44 Mg/m³. The calculation puts the formation energy (no corrections) at -2.21 eV per atom.


Entry 3:
An optimized crystal structure of La3YTl2S. Source: Alexandria, functional PBE-GGA.

The structure belongs to space group Immm (No. 71); the cell edges are 5.2135, 5.3999 and 16.5412 Å and the angles 90.00°, 90.00° and 90.00°. The distinct sites, in fractional coordinates, are La at (0.0000, 0.0000, 0.0000), La at (0.0000, 0.5000, 0.1734), Y at (0.0000, 0.0000, 0.5000), Tl at (0.0000, 0.5000, 0.3716) and S at (0.0000, 0.5000, 0.0000).

The volume comes out at 465.7 Å³/cell. The value obtained for the raw total energy is -5.0436 eV/atom. The crystal system is orthorhombic. As for the density: 6.75 Mg/m³. The calculation puts the formation energy (no corrections) at -0.74 eV per atom.


Entry 4:
An optimized crystal structure of LiRe2Ir. Source: Alexandria, functional PBE-GGA.

The structure belongs to space group Pmmm (No. 47); the cell edges are 2.6935, 4.0450 and 5.1537 Å and the angles 90.00°, 90.00° and 90.00°. The distinct sites, in fractional coordinates, are Li at (0.0000, 0.0000, 0.0000), Re at (0.5000, 0.5000, 0.2351) and Ir at (0.0000, 0.0000, 0.5000).

The volume comes out at 56.2 Å³/cell. The value obtained for the raw total energy is -8.7995 eV/atom. The crystal system is orthorhombic. As for the density: 16.90 Mg/m³. The formation energy comes out at 11.4 kJ/mol of atoms.


Entry 5:
An optimized crystal structure of Mg2POs. Source: Alexandria, functional PBE-GGA.

The structure belongs to space group Cm (No. 8); the cell edges are 10.0530, 3.0985 and 4.6255 Å and the angles 90.00°, 110.30° and 90.00°. The distinct sites, in fractional coordinates, are Mg at (0.0000, 0.0000, 0.0000), Mg at (0.2041, 0.0000, 0.6768), P at (0.2653, 0.5000, 0.2405) and Os at (0.4412, 0.0000, 0.4523).

The volume comes out at 135.1 Å³/cell. The value obtained for the raw total energy is -5.0699 eV/atom. The crystal system is monoclinic. As for the density: 6.63 Mg/m³. The formation energy comes out at -10.9 kJ/mol of atoms.


Entry 6:
An optimized crystal structure of La2Y6Ho2Er. Source: Alexandria, functional PBE-GGA.

The structure belongs to space group C2/m (No. 12); the cell edges are 6.2368, 10.4966 and 11.7244 Å and the angles 90.00°, 97.48° and 90.00°. The distinct sites, in fractional coordinates, are La at (0.0000, 0.1805, 0.0000), Y at (0.2306, 0.5000, 0.7511), Y at (0.2324, 0.1669, 0.7420), Ho at (0.0000, 0.3356, 0.5000) and Er at (0.0000, 0.0000, 0.5000).

The volume comes out at 761.0 Å³/cell. The value obtained for the raw total energy is -5.4841 eV/atom. The crystal system is monoclinic. As for the density: 5.71 Mg/m³. The formation energy comes out at 17.8 kJ/mol of atoms.


Question: Which value of raw total energy does entry 5 give?
Answer: -5.0699 eV/atom